1:
{"formula": "BeAlGe2Pb", "functional": "PBE", "state": "optimized geometry", "lattice_angstrom": [[5.419, 0.000, 0.000], [0.000, 5.419, 0.000], [0.000, 0.000, 5.439]], "species": ["Be", "Al", "Ge", "Ge", "Pb"], "frac_coords": [[0.000, 0.000, 0.000], [0.500, 0.500, 0.000], [0.000, 0.500, 0.500], [0.500, 0.000, 0.500], [0.500, 0.500, 0.500]], "rho_kg_m3": 4040, "dos_ef_per_ev_atom": 0.870, "space_group": "P4/mmm"}

2:
{"formula": "BeAlGe2Pb", "functional": "PBE", "state": "optimized geometry", "lattice_angstrom": [[5.030, 0.000, 0.000], [0.000, 5.030, 0.000], [0.000, 0.000, 4.492]], "species": ["Be", "Al", "Ge", "Ge", "Pb"], "frac_coords": [[0.000, 0.000, 0.000], [0.000, 0.000, 0.500], [0.000, 0.500, 0.500], [0.500, 0.000, 0.500], [0.500, 0.500, 0.000]], "rho_kg_m3": 5677, "dos_ef_per_ev_atom": 0.580, "space_group": "P4/mmm"}

It is 1 that is the least stable of them.

1:
{"formula": "BeAlGe2Pt", "functional": "PBE", "state": "optimized geometry", "lattice_angstrom": [[4.901, 0.000, 0.000], [0.000, 4.901, 0.000], [0.000, 0.000, 4.309]], "species": ["Be", "Al", "Ge", "Ge", "Pt"], "frac_coords": [[0.000, 0.000, 0.000], [0.500, 0.500, 0.000], [0.000, 0.500, 0.500], [0.500, 0.000, 0.500], [0.000, 0.000, 0.500]], "rho_kg_m3": 6037, "dos_ef_per_ev_atom": 0.750, "space_group": "P4/mmm"}

2:
{"formula": "BeAlGe2Pt", "functional": "PBE", "state": "optimized geometry", "lattice_angstrom": [[4.805, 0.000, 0.000], [0.000, 4.805, 0.000], [0.000, 0.000, 4.229]], "species": ["Be", "Al", "Ge", "Ge", "Pt"], "frac_coords": [[0.000, 0.000, 0.000], [0.000, 0.000, 0.500], [0.000, 0.500, 0.500], [0.500, 0.000, 0.500], [0.500, 0.500, 0.000]], "rho_kg_m3": 6401, "dos_ef_per_ev_atom": 0.715, "space_group": "P4/mmm"}

It is 2 that is the least stable of them.

1:
{"formula": "BeAl2H", "functional": "PBE", "state": "optimized geometry", "lattice_angstrom": [[8.077, 0.000, 0.000], [0.000, 4.115, 0.000], [-0.729, 0.000, 5.908]], "species": ["Be", "Be", "Be", "Be", "Al", "Al", "Al", "Al", "Al", "Al", "Al", "Al", "H", "H", "H", "H"], "frac_coords": [[0.000, 0.250, 0.000], [0.000, 0.750, 0.000], [0.500, 0.250, 0.000], [0.500, 0.750, 0.000], [0.091, 0.000, 0.419], [0.227, 0.500, 0.755], [0.271, 0.500, 0.240], [0.407, 0.000, 0.575], [0.591, 0.500, 0.419], [0.727, 0.000, 0.755], [0.771, 0.000, 0.240], [0.907, 0.500, 0.575], [0.106, 0.000, 0.907], [0.390, 0.000, 0.083], [0.606, 0.500, 0.907], [0.890, 0.500, 0.083]], "rho_kg_m3": 2164, "dos_ef_per_ev_atom": 0.222, "space_group": "Cm"}

2:
{"formula": "BeAl2H", "functional": "PBE", "state": "optimized geometry", "lattice_angstrom": [[4.539, 0.000, 0.000], [0.000, 4.539, 0.000], [0.000, 0.000, 10.943]], "species": ["Be", "Be", "Be", "Be", "Al", "Al", "Al", "Al", "Al", "Al", "Al", "Al", "H", "H", "H", "H"], "frac_coords": [[0.000, 0.000, 0.000], [0.000, 0.500, 0.250], [0.500, 0.000, 0.750], [0.500, 0.500, 0.500], [0.153, 0.250, 0.625], [0.250, 0.653, 0.875], [0.250, 0.847, 0.375], [0.347, 0.250, 0.125], [0.653, 0.750, 0.125], [0.750, 0.153, 0.375], [0.750, 0.347, 0.875], [0.847, 0.750, 0.625], [0.000, 0.000, 0.500], [0.000, 0.500, 0.750], [0.500, 0.000, 0.250], [0.500, 0.500, 0.000]], "rho_kg_m3": 1885, "dos_ef_per_ev_atom": 0.172, "space_group": "I-42d"}

It is 2 that is the least stable of them.

1:
{"formula": "Be3AlH", "functional": "PBE", "state": "optimized geometry", "lattice_angstrom": [[3.557, 0.000, 0.000], [0.000, 3.557, 0.000], [0.000, 0.000, 3.557]], "species": ["Be", "Be", "Be", "Al", "H"], "frac_coords": [[0.000, 0.000, 0.500], [0.000, 0.500, 0.000], [0.500, 0.000, 0.000], [0.500, 0.500, 0.500], [0.000, 0.000, 0.000]], "rho_kg_m3": 2031, "dos_ef_per_ev_atom": 0.323, "space_group": "Pm-3m"}

2:
{"formula": "Be3AlH", "functional": "PBE", "state": "optimized geometry", "lattice_angstrom": [[4.402, 0.000, 0.000], [0.000, 4.402, 0.000], [0.000, 0.000, 4.402]], "species": ["Be", "Be", "Be", "Al", "H"], "frac_coords": [[0.000, 0.000, 0.500], [0.000, 0.500, 0.000], [0.500, 0.000, 0.000], [0.000, 0.000, 0.000], [0.500, 0.500, 0.500]], "rho_kg_m3": 1071, "dos_ef_per_ev_atom": 0.287, "space_group": "Pm-3m"}

It is 2 that is the least stable of them.

1:
{"formula": "BeAlHO", "functional": "PBE", "state": "optimized geometry", "lattice_angstrom": [[9.605, 0.000, 0.000], [0.000, 2.756, 0.000], [-0.462, 0.000, 3.326]], "species": ["Be", "Be", "Al", "Al", "H", "H", "O", "O"], "frac_coords": [[0.000, 0.000, 0.000], [0.500, 0.500, 0.000], [0.267, 0.500, 0.204], [0.767, 0.000, 0.204], [0.246, 0.000, 0.512], [0.746, 0.500, 0.512], [0.079, 0.500, 0.996], [0.579, 0.000, 0.996]], "rho_kg_m3": 1999, "space_group": "Cm"}

2:
{"formula": "BeAlHO", "functional": "PBE", "state": "optimized geometry", "lattice_angstrom": [[2.734, 0.000, 0.000], [-1.367, 2.368, 0.000], [0.000, 0.000, 17.144]], "species": ["Be", "Be", "Be", "Al", "Al", "Al", "H", "H", "H", "O", "O", "O"], "frac_coords": [[0.000, 0.000, 0.000], [0.333, 0.667, 0.667], [0.667, 0.333, 0.333], [0.000, 0.000, 0.813], [0.333, 0.667, 0.479], [0.667, 0.333, 0.146], [0.000, 0.000, 0.913], [0.333, 0.667, 0.580], [0.667, 0.333, 0.246], [0.000, 0.000, 0.695], [0.333, 0.667, 0.362], [0.667, 0.333, 0.029]], "rho_kg_m3": 2379, "dos_ef_per_ev_atom": 0.000, "space_group": "R3m"}

3:
{"formula": "BeAlHO", "functional": "PBE", "state": "optimized geometry", "lattice_angstrom": [[4.648, 0.000, 0.000], [0.000, 2.685, 0.000], [-1.531, 0.000, 8.075]], "species": ["Be", "Be", "Al", "Al", "H", "H", "O", "O"], "frac_coords": [[0.000, 0.000, 0.000], [0.500, 0.500, 0.000], [0.490, 0.000, 0.470], [0.990, 0.500, 0.470], [0.369, 0.500, 0.611], [0.869, 0.000, 0.611], [0.333, 0.000, 0.000], [0.833, 0.500, 0.000]], "rho_kg_m3": 1746, "dos_ef_per_ev_atom": 0.000, "space_group": "Cm"}

It is 1 that is the least stable of them.

1:
{"formula": "BeAlHO", "functional": "PBE", "state": "optimized geometry", "lattice_angstrom": [[2.653, 0.000, 0.000], [0.000, 3.025, 0.000], [0.000, 0.000, 8.577]], "species": ["Be", "Be", "Al", "Al", "H", "H", "O", "O"], "frac_coords": [[0.000, 0.000, 0.000], [0.500, 0.500, 0.500], [0.000, 0.000, 0.710], [0.500, 0.500, 0.210], [0.000, 0.500, 0.049], [0.500, 0.000, 0.549], [0.000, 0.500, 0.368], [0.500, 0.000, 0.868]], "rho_kg_m3": 2557, "dos_ef_per_ev_atom": 0.029, "space_group": "Imm2"}

2:
{"formula": "BeAlHO", "functional": "PBE", "state": "optimized geometry", "lattice_angstrom": [[2.893, 0.000, 0.000], [0.000, 3.240, 0.000], [0.000, 0.000, 8.065]], "species": ["Be", "Be", "Al", "Al", "H", "H", "O", "O"], "frac_coords": [[0.000, 0.000, 0.000], [0.000, 0.500, 0.500], [0.500, 0.000, 0.265], [0.500, 0.500, 0.765], [0.500, 0.000, 0.815], [0.500, 0.500, 0.315], [0.000, 0.000, 0.422], [0.000, 0.500, 0.922]], "rho_kg_m3": 2329, "space_group": "Amm2"}

It is 1 that is the least stable of them.